7
Lattice="-2.374 -2.974 -2.079 1.930 -3.429 -1.821 -1.298 -7.734 8.023" Properties=species:S:1:pos:R:3 comment="Nd3S4 (GGA-PBE, optimized geometry)" de_polymorph_ev_per_atom=0.0900 volume_a3_per_cell=178 n_ef_per_ev_cell=2.5 dft_energy_ev_per_atom=-6.330 e_form_raw_ev_per_atom=-1.928 pbc="T T T"
S -0.460 -5.069 -1.268
S -0.833 -5.469 4.253
S -1.282 -9.068 5.391
S -0.909 -8.667 -0.130
Nd -1.239 -10.276 2.549
Nd 0.000 0.000 0.000
Nd -0.502 -3.860 1.574


8
Lattice="4.577 0.000 0.000 2.288 3.964 0.000 2.288 1.321 9.343" Properties=species:S:1:pos:R:3 comment="SrMg2ZnAu4 (GGA-PBE, optimized geometry)" volume_a3_per_cell=170 n_ef_per_ev_cell=1.4 dft_energy_ev_per_atom=-2.951 formation_energy_ev_per_atom=-0.544 pbc="T T T"
Mg 2.288 1.321 2.753
Mg 6.865 3.964 6.590
Au 2.288 1.321 5.604
Au 4.577 2.642 7.382
Au 6.865 3.964 3.740
Au 4.577 2.642 1.961
Zn 4.577 2.642 4.672
Sr 0.000 0.000 0.000


20
Lattice="7.903 0.000 0.000 0.000 7.861 2.115 0.000 -0.331 14.233" Properties=species:S:1:pos:R:3 comment="PuHI3 (GGA-PBE, optimized geometry)" de_polymorph_ev_per_atom=0.0000 volume_a3_per_cell=890 n_ef_per_ev_cell=54.7 dft_energy_ev_per_atom=-5.300 pbc="T T T"
I 0.500 1.873 7.681
I 1.986 7.481 6.272
I 7.403 5.969 1.623
I 1.986 4.145 4.017
I 3.454 6.340 14.778
I 4.449 2.575 6.604
I 7.403 5.657 8.666
I 3.454 4.955 9.744
I 0.500 1.561 14.725
I 4.449 1.190 1.570
I 5.918 3.385 12.331
I 5.918 0.049 10.076
Pu 5.921 3.048 9.235
Pu 1.982 4.482 7.113
Pu 1.982 7.144 3.176
Pu 5.921 0.386 13.172
H 6.000 6.097 5.391
H 6.000 5.529 4.898
H 1.903 2.001 11.449
H 1.903 1.433 10.957


Question: Number 3 is which compound?
Answer: PuHI3